[1]
# PBE Li2ThCl8, optimized geometry
data_Li2ThCl8
_chemical_formula_sum 'Li4 Th2 Cl16'
_cell_length_a 11.360
_cell_length_b 11.567
_cell_length_c 6.768
_cell_angle_alpha 90.00
_cell_angle_beta 115.01
_cell_angle_gamma 90.00
_symmetry_space_group_name_H-M 'C 1 2/m 1'
_symmetry_Int_Tables_number 12
loop_
_symmetry_equiv_pos_as_xyz
'x,y,z'
'-x,-y,-z'
'-x,y,-z'
'x,-y,z'
'x+1/2,y+1/2,z'
'-x+1/2,-y+1/2,-z'
'-x+1/2,y+1/2,-z'
'x+1/2,-y+1/2,z'
loop_
_atom_site_label
_atom_site_type_symbol
_atom_site_fract_x
_atom_site_fract_y
_atom_site_fract_z
Li1 Li 0.198 0.000 0.204
Th1 Th 0.000 0.000 0.500
Cl1 Cl 0.053 0.500 0.664
Cl2 Cl 0.106 0.153 0.323
Cl3 Cl 0.223 0.000 0.875
# * formation energy without anion corrections: -1.605 eV/atom
# * density: 2.18 g cm⁻³


[2]
# PBE LiThCl6, optimized geometry
data_LiThCl6
_chemical_formula_sum 'Li4 Th4 Cl24'
_cell_length_a 10.499
_cell_length_b 10.499
_cell_length_c 10.499
_cell_angle_alpha 90.00
_cell_angle_beta 90.00
_cell_angle_gamma 90.00
_symmetry_space_group_name_H-M 'F m -3 m'
_symmetry_Int_Tables_number 225
_symmetry_space_group_name_Hall '-F 4 2 3'
loop_
_atom_site_label
_atom_site_type_symbol
_atom_site_fract_x
_atom_site_fract_y
_atom_site_fract_z
Li1 Li 0.000 0.000 0.000
Th1 Th 0.000 0.000 0.500
Cl1 Cl 0.000 0.000 0.244
# * formation energy without anion corrections: -1.648 eV/atom
# * density: 2.59 g cm⁻³


[3]
# PBE LiTiCl2, optimized geometry
data_LiTiCl2
_chemical_formula_sum 'Li3 Ti3 Cl6'
_cell_length_a 3.4248
_cell_length_b 3.4248
_cell_length_c 23.1389
_cell_angle_alpha 90.00
_cell_angle_beta 90.00
_cell_angle_gamma 120.00
_symmetry_space_group_name_H-M 'R -3 m'
_symmetry_Int_Tables_number 166
_symmetry_space_group_name_Hall '-R 3 2"'
loop_
_atom_site_label
_atom_site_type_symbol
_atom_site_fract_x
_atom_site_fract_y
_atom_site_fract_z
Li1 Li 0.0000 0.0000 0.0000
Ti1 Ti 0.0000 0.0000 0.5000
Cl1 Cl 0.0000 0.0000 0.3973
# * formation energy without anion corrections: -1.049 eV/atom
# * excess energy over the best structure of this formula in the dataset: 0.000 eV/atom
# * density: 2.66 g cm⁻³


[4]
# PBE Li2TiCl6, optimized geometry
data_Li2TiCl6
_chemical_formula_sum 'Li4 Ti2 Cl12'
_cell_length_a 6.260
_cell_length_b 6.065
_cell_length_c 12.374
_cell_angle_alpha 90.00
_cell_angle_beta 120.35
_cell_angle_gamma 90.00
_symmetry_space_group_name_H-M 'P 1 21/c 1'
_symmetry_Int_Tables_number 14
loop_
_symmetry_equiv_pos_as_xyz
'x,y,z'
'-x,-y,-z'
'-x,y+1/2,-z+1/2'
'x,-y+1/2,z+1/2'
loop_
_atom_site_label
_atom_site_type_symbol
_atom_site_fract_x
_atom_site_fract_y
_atom_site_fract_z
Li1 Li 0.178 0.000 0.178
Ti1 Ti 0.500 0.000 0.000
Cl1 Cl 0.185 0.224 0.843
Cl2 Cl 0.193 0.721 0.500
Cl3 Cl 0.498 0.223 0.157
# * formation energy without anion corrections: -1.645 eV/atom
# * excess energy over the best structure of this formula in the dataset: 0.000 eV/atom
# * density: 2.25 g cm⁻³


[5]
# PBE LiTiCl2, optimized geometry
data_LiTiCl2
_chemical_formula_sum 'Li4 Ti4 Cl8'
_cell_length_a 5.845
_cell_length_b 5.845
_cell_length_c 10.340
_cell_angle_alpha 90.00
_cell_angle_beta 90.00
_cell_angle_gamma 90.00
_symmetry_space_group_name_H-M 'I -4 2 d'
_symmetry_Int_Tables_number 122
_symmetry_space_group_name_Hall 'I -4 2bw'
loop_
_atom_site_label
_atom_site_type_symbol
_atom_site_fract_x
_atom_site_fract_y
_atom_site_fract_z
Li1 Li 0.000 0.000 0.000
Ti1 Ti 0.000 0.000 0.500
Cl1 Cl 0.226 0.250 0.125
# * formation energy without anion corrections: -0.922 eV/atom
# * excess energy over the best structure of this formula in the dataset: 0.127 eV/atom
# * density: 2.36 g cm⁻³


[6]
# PBE LiTiCl2, optimized geometry
data_LiTiCl2
_chemical_formula_sum 'Li3 Ti3 Cl6'
_cell_length_a 3.2747
_cell_length_b 3.2747
_cell_length_c 25.0115
_cell_angle_alpha 90.00
_cell_angle_beta 90.00
_cell_angle_gamma 120.00
_symmetry_space_group_name_H-M 'R -3 m'
_symmetry_Int_Tables_number 166
_symmetry_space_group_name_Hall '-R 3 2"'
loop_
_atom_site_label
_atom_site_type_symbol
_atom_site_fract_x
_atom_site_fract_y
_atom_site_fract_z
Li1 Li 0.0000 0.0000 0.0000
Ti1 Ti 0.0000 0.0000 0.5000
Cl1 Cl 0.0000 0.0000 0.1004
# * formation energy without anion corrections: -0.962 eV/atom
# * excess energy over the best structure of this formula in the dataset: 0.087 eV/atom
# * density: 2.70 g cm⁻³


[7]
# PBE Li2Ti2Cl7, optimized geometry
data_Li2Ti2Cl7
_chemical_formula_sum 'Li4 Ti4 Cl14'
_cell_length_a 7.274
_cell_length_b 11.821
_cell_length_c 6.445
_cell_angle_alpha 90.00
_cell_angle_beta 94.66
_cell_angle_gamma 90.00
_symmetry_space_group_name_H-M 'C 1 2/m 1'
_symmetry_Int_Tables_number 12
loop_
_symmetry_equiv_pos_as_xyz
'x,y,z'
'-x,-y,-z'
'-x,y,-z'
'x,-y,z'
'x+1/2,y+1/2,z'
'-x+1/2,-y+1/2,-z'
'-x+1/2,y+1/2,-z'
'x+1/2,-y+1/2,z'
loop_
_atom_site_label
_atom_site_type_symbol
_atom_site_fract_x
_atom_site_fract_y
_atom_site_fract_z
Li1 Li 0.000 0.241 0.000
Ti1 Ti 0.178 0.000 0.598
Cl1 Cl 0.000 0.500 0.500
Cl2 Cl 0.109 0.000 0.240
Cl3 Cl 0.235 0.178 0.770
# * formation energy without anion corrections: -1.542 eV/atom
# * density: 2.15 g cm⁻³


[8]
# PBE LiTi2Cl2, optimized geometry
data_LiTi2Cl2
_chemical_formula_sum 'Li2 Ti4 Cl4'
_cell_length_a 7.333
_cell_length_b 7.333
_cell_length_c 2.986
_cell_angle_alpha 90.00
_cell_angle_beta 90.00
_cell_angle_gamma 90.00
_symmetry_space_group_name_H-M 'P 4/m b m'
_symmetry_Int_Tables_number 127
_symmetry_space_group_name_Hall '-P 4 2ab'
loop_
_atom_site_label
_atom_site_type_symbol
_atom_site_fract_x
_atom_site_fract_y
_atom_site_fract_z
Li1 Li 0.000 0.000 0.000
Ti1 Ti 0.153 0.347 0.000
Cl1 Cl 0.141 0.641 0.500
# * formation energy without anion corrections: -0.062 eV/atom
# * excess energy over the best structure of this formula in the dataset: 0.232 eV/atom
# * density: 3.59 g cm⁻³


[9]
# PBE LiTiCl4, optimized geometry
data_LiTiCl4
_chemical_formula_sum 'Li4 Ti4 Cl16'
_cell_length_a 7.244
_cell_length_b 14.339
_cell_length_c 6.062
_cell_angle_alpha 90.00
_cell_angle_beta 117.13
_cell_angle_gamma 90.00
_symmetry_space_group_name_H-M 'C 1 2/c 1'
_symmetry_Int_Tables_number 15
loop_
_symmetry_equiv_pos_as_xyz
'x,y,z'
'-x,-y,-z'
'-x,y,-z+1/2'
'x,-y,z+1/2'
'x+1/2,y+1/2,z'
'-x+1/2,-y+1/2,-z'
'-x+1/2,y+1/2,-z+1/2'
'x+1/2,-y+1/2,z+1/2'
loop_
_atom_site_label
_atom_site_type_symbol
_atom_site_fract_x
_atom_site_fract_y
_atom_site_fract_z
Li1 Li 0.000 0.208 0.250
Ti1 Ti 0.000 0.059 0.750
Cl1 Cl 0.211 0.177 0.702
Cl2 Cl 0.218 0.062 0.203
# * formation energy without anion corrections: -1.633 eV/atom
# * excess energy over the best structure of this formula in the dataset: 0.014 eV/atom
# * density: 2.33 g cm⁻³


[10]
# PBE Li5Ti3Cl12, optimized geometry
data_Li5Ti3Cl12
_chemical_formula_sum 'Li40 Ti24 Cl96'
_cell_length_a 14.703
_cell_length_b 14.703
_cell_length_c 14.703
_cell_angle_alpha 90.00
_cell_angle_beta 90.00
_cell_angle_gamma 90.00
_symmetry_space_group_name_H-M 'I a -3 d'
_symmetry_Int_Tables_number 230
_symmetry_space_group_name_Hall '-I 4bd 2c 3'
loop_
_atom_site_label
_atom_site_type_symbol
_atom_site_fract_x
_atom_site_fract_y
_atom_site_fract_z
Li1 Li 0.000 0.000 0.000
Li2 Li 0.000 0.250 0.375
Ti1 Ti 0.000 0.250 0.125
Cl1 Cl 0.024 0.067 0.654
# * formation energy without anion corrections: -1.457 eV/atom
# * density: 2.52 g cm⁻³


[11]
# PBE LiTiCl2, optimized geometry
data_LiTiCl2
_chemical_formula_sum 'Li4 Ti4 Cl8'
_cell_length_a 6.330
_cell_length_b 6.330
_cell_length_c 6.330
_cell_angle_alpha 90.00
_cell_angle_beta 90.00
_cell_angle_gamma 90.00
_symmetry_space_group_name_H-M 'F m -3 m'
_symmetry_Int_Tables_number 225
_symmetry_space_group_name_Hall '-F 4 2 3'
loop_
_atom_site_label
_atom_site_type_symbol
_atom_site_fract_x
_atom_site_fract_y
_atom_site_fract_z
Li1 Li 0.000 0.000 0.000
Ti1 Ti 0.000 0.000 0.500
Cl1 Cl 0.250 0.250 0.250
# * formation energy without anion corrections: -0.682 eV/atom
# * excess energy over the best structure of this formula in the dataset: 0.367 eV/atom
# * density: 3.29 g cm⁻³


[12]
# PBE Li2TiCl5, optimized geometry
data_Li2TiCl5
_chemical_formula_sum 'Li8 Ti4 Cl20'
_cell_length_a 4.789
_cell_length_b 12.832
_cell_length_c 12.473
_cell_angle_alpha 90.00
_cell_angle_beta 90.00
_cell_angle_gamma 90.00
_symmetry_space_group_name_H-M 'C m c m'
_symmetry_Int_Tables_number 63
_symmetry_space_group_name_Hall '-C 2c 2'
loop_
_atom_site_label
_atom_site_type_symbol
_atom_site_fract_x
_atom_site_fract_y
_atom_site_fract_z
Li1 Li 0.000 0.121 0.069
Ti1 Ti 0.000 0.203 0.750
Cl1 Cl 0.000 0.066 0.616
Cl2 Cl 0.000 0.285 0.250
Cl3 Cl 0.000 0.331 0.606
# * formation energy without anion corrections: -1.642 eV/atom
# * density: 2.07 g cm⁻³


[13]
# PBE Li2TiCl6, optimized geometry
data_Li2TiCl6
_chemical_formula_sum 'Li4 Ti2 Cl12'
_cell_length_a 6.008
_cell_length_b 6.008
_cell_length_c 10.964
_cell_angle_alpha 90.00
_cell_angle_beta 90.00
_cell_angle_gamma 90.00
_symmetry_space_group_name_H-M 'P 42/m n m'
_symmetry_Int_Tables_number 136
_symmetry_space_group_name_Hall '-P 4n 2n'
loop_
_atom_site_label
_atom_site_type_symbol
_atom_site_fract_x
_atom_site_fract_y
_atom_site_fract_z
Li1 Li 0.000 0.000 0.167
Ti1 Ti 0.000 0.000 0.500
Cl1 Cl 0.192 0.192 0.345
Cl2 Cl 0.219 0.219 0.000
# * formation energy without anion corrections: -1.624 eV/atom
# * excess energy over the best structure of this formula in the dataset: 0.021 eV/atom
# * density: 2.30 g cm⁻³


[14]
# PBE LiTiCl4, optimized geometry
data_LiTiCl4
_chemical_formula_sum 'Li1 Ti1 Cl4'
_cell_length_a 6.376
_cell_length_b 3.534
_cell_length_c 6.499
_cell_angle_alpha 90.00
_cell_angle_beta 90.94
_cell_angle_gamma 90.00
_symmetry_space_group_name_H-M 'P 1 2/m 1'
_symmetry_Int_Tables_number 10
loop_
_symmetry_equiv_pos_as_xyz
'x,y,z'
'-x,-y,-z'
'-x,y,-z'
'x,-y,z'
loop_
_atom_site_label
_atom_site_type_symbol
_atom_site_fract_x
_atom_site_fract_y
_atom_site_fract_z
Li1 Li 0.000 0.000 0.000
Ti1 Ti 0.500 0.500 0.000
Cl1 Cl 0.186 0.500 0.798
Cl2 Cl 0.351 0.000 0.221
# * formation energy without anion corrections: -1.647 eV/atom
# * excess energy over the best structure of this formula in the dataset: 0.000 eV/atom
# * density: 2.23 g cm⁻³


[15]
# PBE LiTiCl6, optimized geometry
data_LiTiCl6
_chemical_formula_sum 'Li4 Ti4 Cl24'
_cell_length_a 9.789
_cell_length_b 9.789
_cell_length_c 9.789
_cell_angle_alpha 90.00
_cell_angle_beta 90.00
_cell_angle_gamma 90.00
_symmetry_space_group_name_H-M 'F m -3 m'
_symmetry_Int_Tables_number 225
_symmetry_space_group_name_Hall '-F 4 2 3'
loop_
_atom_site_label
_atom_site_type_symbol
_atom_site_fract_x
_atom_site_fract_y
_atom_site_fract_z
Li1 Li 0.000 0.000 0.000
Ti1 Ti 0.000 0.000 0.500
Cl1 Cl 0.000 0.000 0.261
# * formation energy without anion corrections: -1.253 eV/atom
# * density: 1.89 g cm⁻³


[16]
# PBE LiTi2Cl2, optimized geometry
data_LiTi2Cl2
_chemical_formula_sum 'Li2 Ti4 Cl4'
_cell_length_a 4.299
_cell_length_b 4.299
_cell_length_c 11.144
_cell_angle_alpha 90.00
_cell_angle_beta 90.00
_cell_angle_gamma 90.00
_symmetry_space_group_name_H-M 'I 4/m m m'
_symmetry_Int_Tables_number 139
_symmetry_space_group_name_Hall '-I 4 2'
loop_
_atom_site_label
_atom_site_type_symbol
_atom_site_fract_x
_atom_site_fract_y
_atom_site_fract_z
Li1 Li 0.000 0.000 0.000
Ti1 Ti 0.000 0.000 0.382
Cl1 Cl 0.000 0.500 0.250
# * formation energy without anion corrections: -0.294 eV/atom
# * excess energy over the best structure of this formula in the dataset: 0.000 eV/atom
# * density: 2.80 g cm⁻³


[17]
# PBE LiTiTl2Cl6, optimized geometry
data_LiTiTl2Cl6
_chemical_formula_sum 'Li3 Ti3 Tl6 Cl18'
_cell_length_a 7.1014
_cell_length_b 7.1014
_cell_length_c 17.2641
_cell_angle_alpha 90.00
_cell_angle_beta 90.00
_cell_angle_gamma 120.00
_symmetry_space_group_name_H-M 'R 3'
_symmetry_Int_Tables_number 146
_symmetry_space_group_name_Hall 'R 3'
loop_
_atom_site_label
_atom_site_type_symbol
_atom_site_fract_x
_atom_site_fract_y
_atom_site_fract_z
Li1 Li 0.0000 0.0000 0.0000
Ti1 Ti 0.0000 0.0000 0.4999
Tl1 Tl 0.0000 0.0000 0.2504
Tl2 Tl 0.0000 0.0000 0.7501
Cl1 Cl 0.0117 0.4745 0.2477
Cl2 Cl 0.1413 0.7962 0.0854
# * formation energy without anion corrections: -1.399 eV/atom
# * density: 4.47 g cm⁻³


[18]
# PBE LiTl5Cl6, optimized geometry
data_LiTl5Cl6
_chemical_formula_sum 'Li2 Tl10 Cl12'
_cell_length_a 7.828
_cell_length_b 13.212
_cell_length_c 7.694
_cell_angle_alpha 90.00
_cell_angle_beta 109.46
_cell_angle_gamma 90.00
_symmetry_space_group_name_H-M 'C 1 2/m 1'
_symmetry_Int_Tables_number 12
loop_
_symmetry_equiv_pos_as_xyz
'x,y,z'
'-x,-y,-z'
'-x,y,-z'
'x,-y,z'
'x+1/2,y+1/2,z'
'-x+1/2,-y+1/2,-z'
'-x+1/2,y+1/2,-z'
'x+1/2,-y+1/2,z'
loop_
_atom_site_label
_atom_site_type_symbol
_atom_site_fract_x
_atom_site_fract_y
_atom_site_fract_z
Li1 Li 0.000 0.000 0.000
Tl1 Tl 0.000 0.169 0.500
Tl2 Tl 0.000 0.333 0.000
Tl3 Tl 0.000 0.500 0.500
Cl1 Cl 0.209 0.142 0.212
Cl2 Cl 0.223 0.000 0.743
# * formation energy without anion corrections: -1.113 eV/atom
# * density: 5.50 g cm⁻³


[19]
# PBE Li3TlCl, optimized geometry
data_Li3TlCl
_chemical_formula_sum 'Li3 Tl1 Cl1'
_cell_length_a 4.710
_cell_length_b 4.710
_cell_length_c 4.710
_cell_angle_alpha 90.00
_cell_angle_beta 90.00
_cell_angle_gamma 90.00
_symmetry_space_group_name_H-M 'P m -3 m'
_symmetry_Int_Tables_number 221
_symmetry_space_group_name_Hall '-P 4 2 3'
loop_
_atom_site_label
_atom_site_type_symbol
_atom_site_fract_x
_atom_site_fract_y
_atom_site_fract_z
Li1 Li 0.000 0.000 0.500
Tl1 Tl 0.500 0.500 0.500
Cl1 Cl 0.000 0.000 0.000
# * formation energy without anion corrections: -0.650 eV/atom
# * excess energy over the best structure of this formula in the dataset: 0.000 eV/atom
# * density: 4.14 g cm⁻³


[20]
# PBE Li2TlCl, optimized geometry
data_Li2TlCl
_chemical_formula_sum 'Li8 Tl4 Cl4'
_cell_length_a 6.990
_cell_length_b 6.990
_cell_length_c 7.425
_cell_angle_alpha 90.00
_cell_angle_beta 90.00
_cell_angle_gamma 90.00
_symmetry_space_group_name_H-M 'I -4 2 d'
_symmetry_Int_Tables_number 122
_symmetry_space_group_name_Hall 'I -4 2bw'
loop_
_atom_site_label
_atom_site_type_symbol
_atom_site_fract_x
_atom_site_fract_y
_atom_site_fract_z
Li1 Li 0.181 0.750 0.125
Tl1 Tl 0.000 0.000 0.500
Cl1 Cl 0.000 0.000 0.000
# * formation energy without anion corrections: -0.759 eV/atom
# * density: 4.65 g cm⁻³